Entry 1:
Material: Li2TaAs
Method: DFT, PBE
State: relaxed

Cell lengths 7.281, 7.281, 5.054 Å; angles 90.00, 90.00, 90.00 degrees
Space group I-42d (No. 122)
Symmetry-distinct sites (fractional):
Li1 0.210 0.250 0.125
Ta1 0.000 0.000 0.500
As1 0.000 0.000 0.000

Properties
For the formation energy, the calculation gives 93 kJ/mol of formula units. The calculated total energy is -4.8417 eV per atom.



Entry 2:
Material: IrPbW2
Method: DFT, PBE
State: relaxed

Cell lengths 3.593, 4.253, 4.556 Å; angles 90.00, 90.00, 90.00 degrees
Space group Pmmm (No. 47)
Symmetry-distinct sites (fractional):
Ir1 0.000 0.000 0.000
Pb1 0.500 0.500 0.000
W1 0.000 0.500 0.500
W2 0.500 0.000 0.500

Properties
For the formation energy, the calculation gives 277 kJ/mol of formula units. The calculated total energy is -8.9024 eV per atom.



Entry 3:
Material: Ce2U2S5
Method: DFT, PBE
State: relaxed

Cell lengths 4.0763, 4.0763, 17.5249 Å; angles 90.00, 90.00, 120.00 degrees
Space group P-3m1 (No. 164)
Symmetry-distinct sites (fractional):
Ce1 0.3333 0.6667 0.0922
U1 0.3333 0.6667 0.6668
S1 0.0000 0.0000 0.0000
S2 0.3333 0.6667 0.4043
S3 0.3333 0.6667 0.8186

Properties
The calculated total energy is -7.4838 eV per atom. The calculation puts the uncorrected formation energy at -131.6 kJ per mole of atoms.



Entry 4:
Material: Er2Tl2TcO6
Method: DFT, PBE
State: relaxed

Cell lengths 5.775, 9.975, 6.800 Å; angles 90.00, 104.90, 90.00 degrees
Space group C2/m (No. 12)
Symmetry-distinct sites (fractional):
Er1 0.000 0.166 0.000
Tl1 0.000 0.336 0.500
Tc1 0.000 0.500 0.000
O1 0.203 0.344 0.161
O2 0.245 0.000 0.167

Properties
The calculated total energy is -6.9934 eV per atom. The calculation puts the uncorrected formation energy at -201.3 kJ per mole of atoms.